The following is a PBE calculation of a relaxed structure of SmGeRh4, from Alexandria.

Values from the calculation:
**Calculated total energy**: -6.910 eV per atom
**Spin magnetization**: 0.0 μB per formula unit

Unit cell a=7.538 b=3.927 c=6.888 alpha=90.00 beta=90.00 gamma=90.00
Space group Pmma (No. 51)
Symmetry-distinct sites (fractional):
Sm (0.250, 0.000, 0.144) [2 per cell]
Ge (0.250, 0.000, 0.721) [2 per cell]
Rh (0.000, 0.000, 0.500) [2 per cell]
Rh (0.052, 0.500, 0.803) [4 per cell]
Rh (0.250, 0.500, 0.451) [2 per cell]